The following is a PBE calculation of crystalline BaLiMg2Au at its relaxed geometry, from Alexandria via LeMat-Bulk.

Summary:
Relative energy among the computed polymorphs in meV per atom: 936
Calculated formation energy in eV per atom: 0.673

Unit cell a=6.6427 b=6.6427 c=5.9390 alpha=90.00 beta=90.00 gamma=90.00
With the nearest neighbours (Å) after each atom.
Element x y z (fractional)
Ba (0.0000, 0.0000, 0.0000)  2 Au 2.97, 4 Mg 3.32
Li (0.5000, 0.5000, 0.5000)  8 Mg 4.46, 4 Au 4.70
Mg (0.0000, 0.5000, 0.0000)  2 Ba 3.32
Mg (0.5000, 0.0000, 0.0000)  2 Ba 3.32
Au (0.0000, 0.0000, 0.5000)  2 Ba 2.97



The following is a PBE calculation of crystalline BaCoSi2Bi at its relaxed geometry, from Alexandria via LeMat-Bulk.

Summary:
Formation energy (no corrections) in kcal/mol of atoms: 17.911

Unit cell a=5.5465 b=5.5465 c=4.8494 alpha=90.00 beta=90.00 gamma=90.00
With the nearest neighbours (Å) after each atom.
Element x y z (fractional)
Ba (0.0000, 0.0000, 0.0000)  8 Si 3.68, 4 Co 3.92
Co (0.5000, 0.5000, 0.0000)  2 Bi 2.42
Si (0.0000, 0.5000, 0.5000)  2 Bi 2.77
Si (0.5000, 0.0000, 0.5000)  2 Bi 2.77
Bi (0.5000, 0.5000, 0.5000)  2 Co 2.42



The following is a PBE calculation of crystalline SiRuO2 at its relaxed geometry, from Alexandria via LeMat-Bulk.

Summary:
Formation energy (no corrections) in kcal/mol of atoms: -14.302

Unit cell a=6.4630 b=6.4630 c=6.4630 alpha=25.37 beta=25.37 gamma=25.37
With the nearest neighbours (Å) after each atom.
Element x y z (fractional)
Si (0.0000, 0.0000, 0.0000)  2 O 1.83
Ru (0.5000, 0.5000, 0.5000)  6 O 2.09
O (0.0978, 0.0978, 0.0978)  1 Si 1.83
O (0.9022, 0.9022, 0.9022)  1 Si 1.83



The following is a PBE calculation of crystalline Tb2AlGa6Cu at its relaxed geometry, from Alexandria via LeMat-Bulk.

Summary:
Calculated formation energy in eV per atom: -0.248

Unit cell a=12.2879 b=12.2879 c=12.2879 alpha=29.67 beta=29.67 gamma=29.67
With the nearest neighbours (Å) after each atom.
Element x y z (fractional)
Tb (0.1178, 0.1178, 0.1178)  12 Ga 3.18-3.55
Tb (0.3021, 0.3021, 0.3021)  12 Ga 3.17-3.54
Tb (0.6979, 0.6979, 0.6979)  12 Ga 3.17-3.54
Tb (0.8822, 0.8822, 0.8822)  12 Ga 3.18-3.55
Al (0.0000, 0.0000, 0.0000)  6 Ga 2.59
Al (0.5000, 0.5000, 0.5000)  2 Cu 2.39
Ga (0.0529, 0.6584, 0.6584)  1 Cu 2.36, 2 Ga 2.48
Ga (0.2309, 0.2309, 0.6764)  1 Cu 2.46, 1 Al 2.59
Ga (0.2309, 0.6764, 0.2309)  1 Cu 2.46, 1 Al 2.59
Ga (0.3236, 0.7691, 0.7691)  1 Cu 2.46, 1 Al 2.59
Ga (0.3416, 0.3416, 0.9471)  1 Cu 2.36, 2 Ga 2.48
Ga (0.3416, 0.9471, 0.3416)  1 Cu 2.36, 2 Ga 2.48
Ga (0.6584, 0.0529, 0.6584)  1 Cu 2.36, 2 Ga 2.48
Ga (0.6584, 0.6584, 0.0529)  1 Cu 2.36, 2 Ga 2.48
Ga (0.6764, 0.2309, 0.2309)  1 Cu 2.46, 1 Al 2.59
Ga (0.7691, 0.3236, 0.7691)  1 Cu 2.46, 1 Al 2.59
Ga (0.7691, 0.7691, 0.3236)  1 Cu 2.46, 1 Al 2.59
Ga (0.9471, 0.3416, 0.3416)  1 Cu 2.36, 2 Ga 2.48
Cu (0.4321, 0.4321, 0.4321)  6 Ga 2.36-2.46, 1 Al 2.39
Cu (0.5679, 0.5679, 0.5679)  6 Ga 2.36-2.46, 1 Al 2.39



The following is a PBE calculation of crystalline Cu2Pd3Au6 at its relaxed geometry, from Alexandria via LeMat-Bulk.

Summary:
Relative energy among the computed polymorphs in meV per atom: 209
Calculated formation energy in eV per atom: 0.133

Unit cell a=13.6353 b=13.6353 c=13.6353 alpha=163.71 beta=163.71 gamma=23.12
With the nearest neighbours (Å) after each atom.
Element x y z (fractional)
Cu (0.1437, 0.1437, 0.0000)  5 Au 2.49-2.66, 4 Pd 2.77
Cu (0.8563, 0.8563, 0.0000)  5 Au 2.49-2.66, 4 Pd 2.77
Pd (0.3403, 0.3403, 0.0000)  5 Au 2.76-2.97, 4 Cu 2.77
Pd (0.5000, 0.5000, 0.0000)  8 Au 2.79
Pd (0.6597, 0.6597, 0.0000)  5 Au 2.76-2.97, 4 Cu 2.77
Au (0.0752, 0.5752, 0.5000)  2 Cu 2.66, 4 Au 2.73, 4 Pd 2.79-2.97
Au (0.2370, 0.2370, 0.0000)  1 Cu 2.49, 1 Pd 2.76
Au (0.4248, 0.9248, 0.5000)  2 Cu 2.66, 4 Au 2.73, 4 Pd 2.79-2.97
Au (0.5752, 0.0752, 0.5000)  2 Cu 2.66, 4 Au 2.73, 4 Pd 2.79-2.97
Au (0.7630, 0.7630, 0.0000)  1 Cu 2.49, 1 Pd 2.76
Au (0.9248, 0.4248, 0.5000)  2 Cu 2.66, 4 Au 2.73, 4 Pd 2.79-2.97



The following is a PBE calculation of crystalline Ag3MoI2Cl6 at its relaxed geometry, from Alexandria via LeMat-Bulk.

Summary:
Formation energy (no corrections) in kcal/mol of atoms: -12.498

Unit cell a=8.3237 b=8.3237 c=6.0491 alpha=95.71 beta=95.71 gamma=56.09
With the nearest neighbours (Å) after each atom.
Element x y z (fractional)
Ag (0.0000, 0.0000, 0.0000)  2 I 2.80, 4 Cl 3.05
Ag (0.0000, 0.5000, 0.5000)  2 I 2.76, 4 Cl 2.90-3.07
Ag (0.5000, 0.0000, 0.5000)  2 I 2.76, 4 Cl 2.90-3.07
Mo (0.5000, 0.5000, 0.5000)  6 Cl 2.36-2.37
I (0.1804, 0.1804, 0.2060)  3 Ag 2.76-2.80
I (0.8196, 0.8196, 0.7940)  3 Ag 2.76-2.80
Cl (0.2106, 0.6400, 0.2722)  1 Mo 2.36
Cl (0.3600, 0.7894, 0.7278)  1 Mo 2.36
Cl (0.3755, 0.3755, 0.7171)  1 Mo 2.37
Cl (0.6245, 0.6245, 0.2829)  1 Mo 2.37
Cl (0.6400, 0.2106, 0.2722)  1 Mo 2.36
Cl (0.7894, 0.3600, 0.7278)  1 Mo 2.36